## one
Density functional theory data (PBE-GGA) for a relaxed structure of AcAuSe2.

```
data_AcAuSe2
_chemical_formula_sum 'Ac3 Au3 Se6'
_cell_length_a 4.8345
_cell_length_b 4.8345
_cell_length_c 23.0829
_cell_angle_alpha 90.00
_cell_angle_beta 90.00
_cell_angle_gamma 120.00
_symmetry_space_group_name_H-M 'R -3 m'
_symmetry_Int_Tables_number 166
_symmetry_space_group_name_Hall '-R 3 2"'
loop_
_atom_site_label
_atom_site_type_symbol
_atom_site_fract_x
_atom_site_fract_y
_atom_site_fract_z
Ac1 Ac 0.0000 0.0000 0.0000
Au1 Au 0.0000 0.0000 0.5000
Se1 Se 0.0000 0.0000 0.3948
```

## two
Density functional theory data (PBE-GGA) for a relaxed structure of AcAuSe2.

```
data_AcAuSe2
_chemical_formula_sum 'Ac4 Au4 Se8'
_cell_length_a 6.730
_cell_length_b 7.923
_cell_length_c 8.218
_cell_angle_alpha 90.00
_cell_angle_beta 90.00
_cell_angle_gamma 90.00
_symmetry_space_group_name_H-M 'P b c m'
_symmetry_Int_Tables_number 57
loop_
_symmetry_equiv_pos_as_xyz
'x,y,z'
'-x,-y,-z'
'-x,-y,z+1/2'
'x,y,-z+1/2'
'x,-y+1/2,-z'
'-x,y+1/2,z'
'-x,y+1/2,-z+1/2'
'x,-y+1/2,z+1/2'
loop_
_atom_site_label
_atom_site_type_symbol
_atom_site_fract_x
_atom_site_fract_y
_atom_site_fract_z
Ac1 Ac 0.171 0.040 0.250
Au1 Au 0.500 0.250 0.000
Se1 Se 0.085 0.750 0.000
Se2 Se 0.381 0.090 0.750
```

## three
Density functional theory data (PBE-GGA) for a relaxed structure of AcAuSe2.

```
data_AcAuSe2
_chemical_formula_sum 'Ac1 Au1 Se2'
_cell_length_a 4.258
_cell_length_b 4.258
_cell_length_c 6.319
_cell_angle_alpha 90.00
_cell_angle_beta 90.00
_cell_angle_gamma 90.00
_symmetry_space_group_name_H-M 'P 4/m m m'
_symmetry_Int_Tables_number 123
_symmetry_space_group_name_Hall '-P 4 2'
loop_
_atom_site_label
_atom_site_type_symbol
_atom_site_fract_x
_atom_site_fract_y
_atom_site_fract_z
Ac1 Ac 0.000 0.000 0.000
Au1 Au 0.000 0.000 0.500
Se1 Se 0.500 0.500 0.201
```

two is the most stable structure; the next one sits 98 meV/atom above it.

## one
Density functional theory data (PBE-GGA) for a relaxed structure of Ac2SiAu.

```
data_Ac2SiAu
_chemical_formula_sum 'Ac4 Si2 Au2'
_cell_length_a 6.303
_cell_length_b 4.547
_cell_length_c 8.911
_cell_angle_alpha 90.00
_cell_angle_beta 109.45
_cell_angle_gamma 90.00
_symmetry_space_group_name_H-M 'P 1 21/m 1'
_symmetry_Int_Tables_number 11
loop_
_symmetry_equiv_pos_as_xyz
'x,y,z'
'-x,-y,-z'
'-x,y+1/2,-z'
'x,-y+1/2,z'
loop_
_atom_site_label
_atom_site_type_symbol
_atom_site_fract_x
_atom_site_fract_y
_atom_site_fract_z
Ac1 Ac 0.207 0.250 0.425
Ac2 Ac 0.291 0.750 0.067
Si1 Si 0.368 0.750 0.709
Au1 Au 0.144 0.250 0.785
```

## two
Density functional theory data (PBE-GGA) for a relaxed structure of Ac2SiAu.

```
data_Ac2SiAu
_chemical_formula_sum 'Ac2 Si1 Au1'
_cell_length_a 3.911
_cell_length_b 3.911
_cell_length_c 7.642
_cell_angle_alpha 90.00
_cell_angle_beta 90.00
_cell_angle_gamma 90.00
_symmetry_space_group_name_H-M 'P 4/m m m'
_symmetry_Int_Tables_number 123
_symmetry_space_group_name_Hall '-P 4 2'
loop_
_atom_site_label
_atom_site_type_symbol
_atom_site_fract_x
_atom_site_fract_y
_atom_site_fract_z
Ac1 Ac 0.000 0.000 0.239
Si1 Si 0.500 0.500 0.000
Au1 Au 0.500 0.500 0.500
```

## three
Density functional theory data (PBE-GGA) for a relaxed structure of Ac2SiAu.

```
data_Ac2SiAu
_chemical_formula_sum 'Ac8 Si4 Au4'
_cell_length_a 7.781
_cell_length_b 7.781
_cell_length_c 7.781
_cell_angle_alpha 90.00
_cell_angle_beta 90.00
_cell_angle_gamma 90.00
_symmetry_space_group_name_H-M 'F m -3 m'
_symmetry_Int_Tables_number 225
_symmetry_space_group_name_Hall '-F 4 2 3'
loop_
_atom_site_label
_atom_site_type_symbol
_atom_site_fract_x
_atom_site_fract_y
_atom_site_fract_z
Ac1 Ac 0.250 0.250 0.250
Si1 Si 0.000 0.000 0.000
Au1 Au 0.000 0.000 0.500
```

one is the most stable structure; the next one sits 73 meV/atom above it.

## one
Density functional theory data (PBE-GGA) for a relaxed structure of AcSiAu4.

```
data_AcSiAu4
_chemical_formula_sum 'Ac2 Si2 Au8'
_cell_length_a 7.957
_cell_length_b 4.264
_cell_length_c 7.625
_cell_angle_alpha 90.00
_cell_angle_beta 90.00
_cell_angle_gamma 90.00
_symmetry_space_group_name_H-M 'P m m a'
_symmetry_Int_Tables_number 51
loop_
_symmetry_equiv_pos_as_xyz
'x,y,z'
'-x,-y,-z'
'-x+1/2,-y,z'
'x+1/2,y,-z'
'x+1/2,-y,-z'
'-x+1/2,y,z'
'-x,y,-z'
'x,-y,z'
loop_
_atom_site_label
_atom_site_type_symbol
_atom_site_fract_x
_atom_site_fract_y
_atom_site_fract_z
Ac1 Ac 0.250 0.000 0.116
Si1 Si 0.250 0.000 0.699
Au1 Au 0.000 0.000 0.500
Au2 Au 0.066 0.500 0.823
Au3 Au 0.250 0.500 0.435
```

## two
Density functional theory data (PBE-GGA) for a relaxed structure of AcSiAu4.

```
data_AcSiAu4
_chemical_formula_sum 'Ac4 Si4 Au16'
_cell_length_a 5.155
_cell_length_b 14.825
_cell_length_c 7.022
_cell_angle_alpha 90.00
_cell_angle_beta 90.00
_cell_angle_gamma 90.00
_symmetry_space_group_name_H-M 'C m c m'
_symmetry_Int_Tables_number 63
_symmetry_space_group_name_Hall '-C 2c 2'
loop_
_atom_site_label
_atom_site_type_symbol
_atom_site_fract_x
_atom_site_fract_y
_atom_site_fract_z
Ac1 Ac 0.000 0.106 0.250
Si1 Si 0.000 0.379 0.250
Au1 Au 0.000 0.115 0.750
Au2 Au 0.000 0.291 0.550
Au3 Au 0.000 0.500 0.000
```

two is the most stable structure; the next one sits 33 meV/atom above it.

## one
Density functional theory data (PBE-GGA) for a relaxed structure of AcSiAu3.

```
data_AcSiAu3
_chemical_formula_sum 'Ac4 Si4 Au12'
_cell_length_a 8.542
_cell_length_b 5.907
_cell_length_c 11.174
_cell_angle_alpha 90.00
_cell_angle_beta 127.45
_cell_angle_gamma 90.00
_symmetry_space_group_name_H-M 'P 1 21/c 1'
_symmetry_Int_Tables_number 14
loop_
_symmetry_equiv_pos_as_xyz
'x,y,z'
'-x,-y,-z'
'-x,y+1/2,-z+1/2'
'x,-y+1/2,z+1/2'
loop_
_atom_site_label
_atom_site_type_symbol
_atom_site_fract_x
_atom_site_fract_y
_atom_site_fract_z
Ac1 Ac 0.247 0.179 0.282
Si1 Si 0.293 0.514 0.073
Au1 Au 0.021 0.706 0.095
Au2 Au 0.229 0.611 0.454
Au3 Au 0.451 0.702 0.326
```

## two
Density functional theory data (PBE-GGA) for a relaxed structure of AcSiAu3.

```
data_AcSiAu3
_chemical_formula_sum 'Ac1 Si1 Au3'
_cell_length_a 4.927
_cell_length_b 4.927
_cell_length_c 4.927
_cell_angle_alpha 90.00
_cell_angle_beta 90.00
_cell_angle_gamma 90.00
_symmetry_space_group_name_H-M 'P m -3 m'
_symmetry_Int_Tables_number 221
_symmetry_space_group_name_Hall '-P 4 2 3'
loop_
_atom_site_label
_atom_site_type_symbol
_atom_site_fract_x
_atom_site_fract_y
_atom_site_fract_z
Ac1 Ac 0.000 0.000 0.000
Si1 Si 0.500 0.500 0.500
Au1 Au 0.000 0.500 0.500
```

## three
Density functional theory data (PBE-GGA) for a relaxed structure of AcSiAu3.

```
data_AcSiAu3
_chemical_formula_sum 'Ac2 Si2 Au6'
_cell_length_a 6.539
_cell_length_b 6.552
_cell_length_c 6.132
_cell_angle_alpha 90.00
_cell_angle_beta 122.01
_cell_angle_gamma 90.00
_symmetry_space_group_name_H-M 'C 1 m 1'
_symmetry_Int_Tables_number 8
loop_
_symmetry_equiv_pos_as_xyz
'x,y,z'
'x,-y,z'
'x+1/2,y+1/2,z'
'x+1/2,-y+1/2,z'
loop_
_atom_site_label
_atom_site_type_symbol
_atom_site_fract_x
_atom_site_fract_y
_atom_site_fract_z
Ac1 Ac 0.000 0.000 0.000
Si1 Si 0.142 0.500 0.284
Au1 Au 0.408 0.000 0.818
Au2 Au 0.489 0.251 0.477
```

three is the most stable structure; the next one sits 95 meV/atom above it.